(1)
A plane-wave DFT calculation with GGA-PBE was carried out for a geometry-optimized TbDyTlAu structure.

- distance to the lowest polymorph of the same formula (meV per atom) = 0
- raw total energy (eV/cell) = -17.300

Lattice parameters (Å, degrees): 3.632 3.632 7.728 90.00 90.00 90.00
Positions (direct):
Tb 0.500 0.500 0.126
Dy 0.500 0.500 0.586
Tl 0.000 0.000 0.855
Au 0.000 0.000 0.361


(2)
A plane-wave DFT calculation with GGA-PBE was carried out for a geometry-optimized ZnCrInPd structure.

- raw total energy (eV/cell) = -19.164

Lattice parameters (Å, degrees): 4.521 4.521 4.521 60.00 60.00 60.00
Last column: magnetic moment on the atom in μB.
Positions (direct):
Cr 0.000 0.000 0.000  3.33
Zn 0.750 0.750 0.750  -0.03
Pd 0.500 0.500 0.500  0.03
In 0.250 0.250 0.250  -0.05


(3)
A plane-wave DFT calculation with GGA-PBE was carried out for a geometry-optimized Ho3AlAg4S8 structure.

- raw formation energy (kJ per mole of atoms) = -107.8
- raw total energy (eV/cell) = -79.771

Lattice parameters (Å, degrees): 7.915 11.730 7.927 132.01 119.95 90.00
Positions (direct):
Ho 0.500 0.500 0.000
Ho 0.500 0.500 0.500
Ho 0.000 0.500 0.500
Al 0.000 0.500 0.000
Ag 0.500 0.000 0.000
Ag 0.500 0.000 0.500
Ag 0.000 0.000 0.000
Ag 0.000 0.000 0.500
S 0.272 0.682 0.086
S 0.273 0.682 0.546
S 0.210 0.313 0.420
S 0.814 0.682 0.086
S 0.186 0.318 0.914
S 0.790 0.687 0.580
S 0.727 0.318 0.454
S 0.728 0.318 0.914


(4)
A plane-wave DFT calculation with GGA-PBE was carried out for a geometry-optimized Zn2CrPb structure.

- raw total energy (eV/cell) = -14.663

Lattice parameters (Å, degrees): 3.288 3.288 7.135 90.00 90.00 90.00
Last column: magnetic moment on the atom in μB.
Positions (direct):
Cr 0.500 0.500 0.250  3.29
Pb 0.500 0.500 0.750  0.00
Zn 0.000 0.000 0.055  -0.03
Zn 0.000 0.000 0.445  -0.03


(5)
A plane-wave DFT calculation with GGA-PBE was carried out for a geometry-optimized CeEuGaNi structure.

- raw total energy (eV/cell) = -25.971

Lattice parameters (Å, degrees): 5.055 5.055 5.055 60.00 60.00 60.00
Last column: magnetic moment on the atom in μB.
Positions (direct):
Eu 0.000 0.000 0.000  6.75
Ni 0.250 0.250 0.250  -0.03
Ga 0.750 0.750 0.750  -0.02
Ce 0.500 0.500 0.500  -0.25


(6)
A plane-wave DFT calculation with GGA-PBE was carried out for a geometry-optimized CsZrI3 structure.

- distance to the lowest polymorph of the same formula (meV per atom) = 336
- raw formation energy (kJ per mole of atoms) = -67.7
- raw total energy (eV/cell) = -35.117

Lattice parameters (Å, degrees): 11.248 11.248 7.873 90.00 90.00 134.27
Last column: magnetic moment on the atom in μB.
Positions (direct):
Cs 0.325 0.675 0.250  0.00
Cs 0.675 0.325 0.750  0.00
I 0.443 0.090 0.250  0.00
I 0.910 0.557 0.250  0.00
I 0.090 0.443 0.750  0.00
I 0.557 0.910 0.750  0.00
I 0.000 0.000 0.000  -0.01
I 0.000 0.000 0.500  -0.01
Zr 0.097 0.903 0.250  1.23
Zr 0.903 0.097 0.750  1.23


(7)
A plane-wave DFT calculation with GGA-PBE was carried out for a geometry-optimized Ca2OsRu structure.

- distance to the lowest polymorph of the same formula (meV per atom) = 409
- raw total energy (eV/cell) = -21.929

Lattice parameters (Å, degrees): 5.525 5.525 5.525 145.30 127.75 64.25
Positions (direct):
Ru 0.250 0.750 0.500
Ca 0.004 0.004 0.000
Ca 0.496 0.496 0.000
Os 0.750 0.250 0.500


(8)
A plane-wave DFT calculation with GGA-PBE was carried out for a geometry-optimized Cr2Ir2Rh structure.

- distance to the lowest polymorph of the same formula (meV per atom) = 0
- raw total energy (eV/cell) = -88.766

Lattice parameters (Å, degrees): 7.179 7.179 2.709 90.00 90.00 90.00
Positions (direct):
Cr 0.167 0.667 0.500
Cr 0.667 0.833 0.500
Cr 0.833 0.333 0.500
Cr 0.333 0.167 0.500
Ir 0.370 0.870 0.000
Ir 0.870 0.630 0.000
Ir 0.630 0.130 0.000
Ir 0.130 0.370 0.000
Rh 0.000 0.000 0.000
Rh 0.500 0.500 0.000


(9)
A plane-wave DFT calculation with GGA-PBE was carried out for a geometry-optimized BP2C structure.

- distance to the lowest polymorph of the same formula (meV per atom) = 75
- raw total energy (eV/cell) = -77.078

Lattice parameters (Å, degrees): 3.146 3.146 15.161 90.00 90.00 120.00
Positions (direct):
P 0.000 0.000 0.147
P 0.333 0.667 0.813
P 0.667 0.333 0.480
P 0.000 0.000 0.648
P 0.333 0.667 0.314
P 0.667 0.333 0.981
C 0.000 0.000 0.022
C 0.333 0.667 0.689
C 0.667 0.333 0.355
B 0.000 0.000 0.520
B 0.333 0.667 0.187
B 0.667 0.333 0.854


What is the raw total energy in the seventh record?
-21.929 eV/cell